Record 1
The following is a DFT calculation (PBE-GGA) of Re2TcSe after structural relaxation.

abc: 5.288 8.764 2.909
angles: 90.00 113.88 90.00
Space group C2/m (No. 12)
Inequivalent atoms, fractional coordinates:
Re 0.250 0.250 0.000
Tc 0.000 0.000 0.500
Se 0.000 0.500 0.500

Summary:
calculated total energy	-9.012	eV per atom
crystal system	monoclinic

Record 2
The following is a DFT calculation (PBE-GGA) of Tb6Sm2Sc after structural relaxation.

abc: 17.565 9.880 3.453
angles: 90.00 101.14 90.00
Space group C2/m (No. 12)
Inequivalent atoms, fractional coordinates:
Tb 0.000 0.199 0.000
Tb 0.165 0.315 0.664
Sm 0.166 0.000 0.166
Sc 0.000 0.500 0.500

Summary:
crystal system	monoclinic
DFT formation energy	0.198	eV/atom

Record 3
The following is a DFT calculation (PBE-GGA) of LiCu2Ir after structural relaxation.

abc: 3.463 3.463 17.728
angles: 90.00 90.00 90.00
Space group I-42d (No. 122)
Inequivalent atoms, fractional coordinates:
Li 0.000 0.000 0.000
Cu 0.248 0.250 0.125
Ir 0.000 0.000 0.500

Summary:
crystal system	tetragonal
DFT formation energy	0.372	eV/atom

Record 4
The following is a DFT calculation (PBE-GGA) of SmY2HoTm after structural relaxation.

abc: 8.387 11.404 7.219
angles: 90.00 90.00 90.00
Space group Cmcm (No. 63)
Inequivalent atoms, fractional coordinates:
Sm 0.000 0.229 0.250
Y 0.191 0.000 0.000
Ho 0.000 0.499 0.250
Tm 0.000 0.224 0.750

Summary:
crystal system	orthorhombic
DFT formation energy	0.402	eV/atom

Record 5
The following is a DFT calculation (PBE-GGA) of Na2UIrO6 after structural relaxation.

abc: 5.751 5.751 4.105
angles: 90.00 90.00 90.00
Space group P4mm (No. 99)
Inequivalent atoms, fractional coordinates:
Na 0.000 0.500 0.000
U 0.000 0.000 0.502
Ir 0.500 0.500 0.503
O 0.000 0.000 0.002
O 0.254 0.254 0.503
O 0.500 0.500 0.003

Summary:
calculated total energy	-7.186	eV per atom
crystal system	tetragonal

Record 6
The following is a DFT calculation (PBE-GGA) of PmSmHoTl after structural relaxation.

abc: 7.819 7.819 7.819
angles: 90.00 90.00 90.00
Space group F-43m (No. 216)
Inequivalent atoms, fractional coordinates:
Pm 0.000 0.000 0.000
Sm 0.250 0.250 0.750
Ho 0.250 0.250 0.250
Tl 0.000 0.000 0.500

Summary:
crystal system	cubic
DFT formation energy	-0.019	eV/atom